Here is VZn2Pt2 after structural relaxation from Alexandria via LeMat-Bulk. Energies are from PBE.

Cell lengths 7.3254, 7.3254, 2.8443 Å; angles 90.00, 90.00, 90.00 degrees
Each line ends with the local moment (μB).
Positions (direct):
1 Zn 0.3776 0.8776 0.0000  0.00
2 Zn 0.8776 0.6224 0.0000  0.00
3 Zn 0.6224 0.1224 0.0000  0.00
4 Zn 0.1224 0.3776 0.0000  0.00
5 Pt 0.1766 0.6766 0.5000  0.04
6 Pt 0.6766 0.8234 0.5000  0.04
7 Pt 0.8234 0.3234 0.5000  0.04
8 Pt 0.3234 0.1766 0.5000  0.04
9 V 0.0000 0.0000 0.0000  2.26
10 V 0.5000 0.5000 0.0000  2.26

Computed properties:
Excess energy over the best structure of this formula in the dataset: 0 meV/atom
Formation energy: -0.302 eV per atom
Space-group type: P4/mbm
Size of the total moment: 2.72 μB per formula unit
N(E_F): 0.67 states/eV/atom

Here is Y2ZnCu2 after structural relaxation from Alexandria via LeMat-Bulk. Energies are from PBE.

Cell lengths 3.5050, 3.5050, 8.8497 Å; angles 78.58, 78.58, 90.00 degrees
Positions (direct):
1 Y 0.3921 0.3921 0.2158
2 Y 0.6079 0.6079 0.7842
3 Zn 0.0000 0.0000 0.0000
4 Cu 0.7500 0.2500 0.5000
5 Cu 0.2500 0.7500 0.5000

Computed properties:
Formation energy: -0.097 eV per atom
Space-group type: I4/mmm
Size of the total moment: 0.00 μB per formula unit
N(E_F): 0.61 states/eV/atom

Here is Tb2Pr2Y3 after structural relaxation from Alexandria via LeMat-Bulk. Energies are from PBE.

Cell lengths 8.5200, 8.5200, 8.5200 Å; angles 109.47, 109.47, 109.47 degrees
Positions (direct):
1 Tb 0.0000 0.0000 0.4185
2 Tb 0.5000 0.4185 0.5000
3 Tb 0.5815 0.0815 0.0815
4 Tb 0.9185 0.5000 0.0000
5 Pr 0.0000 0.0000 0.8133
6 Pr 0.5000 0.8133 0.5000
7 Pr 0.1867 0.6867 0.6867
8 Pr 0.3133 0.5000 0.0000
9 Y 0.6962 0.7500 0.9462
10 Y 0.8038 0.2500 0.5538
11 Y 0.0538 0.3038 0.2500
12 Y 0.4462 0.1962 0.7500
13 Y 0.2500 0.9462 0.1962
14 Y 0.7500 0.5538 0.3038

Computed properties:
Excess energy over the best structure of this formula in the dataset: 85 meV/atom
Formation energy: 0.217 eV per atom
Space-group type: I2_13
Size of the total moment: 0.00 μB per formula unit
N(E_F): 1.35 states/eV/atom

Here is BaDyPb2 after structural relaxation from Alexandria via LeMat-Bulk. Energies are from PBE.

Cell lengths 4.1590, 4.1590, 7.7960 Å; angles 90.00, 90.00, 90.00 degrees
Positions (direct):
1 Pb 0.0000 0.0000 0.7946
2 Pb 0.0000 0.0000 0.2054
3 Ba 0.5000 0.5000 0.5000
4 Dy 0.5000 0.5000 0.0000

Computed properties:
Formation energy: -0.475 eV per atom
Space-group type: P4/mmm
Size of the total moment: 0.00 μB per formula unit
N(E_F): 0.49 states/eV/atom

Here is Tb2NdDy2Th2 after structural relaxation from Alexandria via LeMat-Bulk. Energies are from PBE.

Cell lengths 3.4430, 5.9825, 11.9375 Å; angles 80.11, 90.00, 106.72 degrees
Positions (direct):
1 Tb 0.6510 0.3021 0.9260
2 Tb 0.3490 0.6979 0.0740
3 Nd 0.0000 0.0000 0.5000
4 Dy 0.5935 0.1871 0.2237
5 Dy 0.4065 0.8129 0.7763
6 Th 0.7075 0.4150 0.6369
7 Th 0.2925 0.5850 0.3631

Computed properties:
Formation energy: 0.185 eV per atom
Space-group type: C2/m
Size of the total moment: 0.00 μB per formula unit
N(E_F): 1.73 states/eV/atom

Here is Cs3HfCd after structural relaxation from Alexandria via LeMat-Bulk. Energies are from PBE.

Cell lengths 6.9790, 6.9790, 6.9790 Å; angles 90.00, 90.00, 90.00 degrees
Each line ends with the local moment (μB).
Positions (direct):
1 Cs 0.0000 0.5000 0.0000  0.09
2 Cs 0.0000 0.0000 0.5000  0.10
3 Cs 0.5000 0.0000 0.0000  0.07
4 Hf 0.0000 0.0000 0.0000  1.67
5 Cd 0.5000 0.5000 0.5000  0.04

Computed properties:
Formation energy: 1.087 eV per atom
Space-group type: Pm-3m
Size of the total moment: 5.00 μB per formula unit
N(E_F): 0.58 states/eV/atom